(1)
Here is a relaxed CrRe8B2 crystal from Alexandria via LeMat-Bulk. Energies are from PBE-GGA.

a b c (Å): 4.377 6.153 6.153
angles (deg): 112.55 99.02 99.02
Positions (direct):
Cr 0.500 0.000 0.000
Re 0.889 0.672 0.925
Re 0.111 0.075 0.328
Re 0.309 0.613 0.613
Re 0.691 0.387 0.387
Re 0.500 0.753 0.247
Re 0.500 0.247 0.753
Re 0.111 0.328 0.075
Re 0.889 0.925 0.672
B 0.000 0.315 0.685
B 0.000 0.685 0.315

Summary:
**ΔE_f**: -0.1 eV per formula unit
**Final energy**: -122.62 eV per cell
**Magnetic moment**: 0.0 μB per cell
**N(E_F)**: 0.580 states/eV per atom
**Theoretical density**: 17.68 g/cm³

---

(2)
Here is a relaxed Cr2Re3B crystal from Alexandria via LeMat-Bulk. Energies are from PBE-GGA.

a b c (Å): 4.346 7.970 9.087
angles (deg): 90.00 103.11 90.00
Positions (direct):
Cr 0.124 0.641 0.463
Cr 0.772 0.011 0.733
Cr 0.124 0.859 0.963
Cr 0.228 0.511 0.767
Cr 0.772 0.489 0.233
Cr 0.876 0.359 0.537
Cr 0.228 0.989 0.267
Cr 0.876 0.141 0.037
Re 0.278 0.383 0.032
Re 0.254 0.839 0.701
Re 0.714 0.851 0.169
Re 0.714 0.649 0.669
Re 0.254 0.661 0.201
Re 0.722 0.617 0.968
Re 0.278 0.117 0.532
Re 0.286 0.149 0.831
Re 0.286 0.351 0.331
Re 0.722 0.883 0.468
Re 0.746 0.161 0.299
Re 0.746 0.339 0.799
B 0.397 0.417 0.574
B 0.603 0.917 0.926
B 0.397 0.083 0.074
B 0.603 0.583 0.426

Summary:
**ΔE_f**: 0.6 eV per formula unit
**Final energy**: -250.74 eV per cell
**Magnetic moment**: 0.0 μB per cell
**N(E_F)**: 0.811 states/eV per atom
**Theoretical density**: 14.59 g/cm³

---

Question: The lowest final energy belongs to which entry?
Answer: Cr2Re3B